No. 1
Below is crystalline MgTl2Tc at its relaxed geometry, with properties calculated at the PBE level.

Structure (CIF):
```
data_MgTl2Tc
_cell_length_a 3.0326
_cell_length_b 5.0587
_cell_length_c 5.7584
_cell_angle_alpha 90.00
_cell_angle_beta 104.63
_cell_angle_gamma 90.00
_symmetry_space_group_name_H-M 'P 1 m 1'
_symmetry_Int_Tables_number 6
loop_
_symmetry_equiv_pos_as_xyz
'x,y,z'
'x,-y,z'
loop_
_atom_site_label
_atom_site_type_symbol
_atom_site_fract_x
_atom_site_fract_y
_atom_site_fract_z
_atom_site_occupancy
Mg1 Mg 0.0000 0.0000 0.0000 1
Tl1 Tl 0.3357 0.5000 0.6981 1
Tl2 Tl 0.7184 0.0000 0.4529 1
Tc1 Tc 0.5976 0.5000 0.2014 1
```

- energy of formation from the pure elements (eV per atom) = 0.507
- crystal system = monoclinic
- size of the total moment (μB/f.u.) = 0.00
- energy above the most stable polymorph in this dataset (eV per atom) = 0.112

No. 2
Below is crystalline PuTe3As at its relaxed geometry, with properties calculated at the PBE level.

Structure (CIF):
```
data_PuTe3As
_cell_length_a 7.4203
_cell_length_b 4.2067
_cell_length_c 11.1464
_cell_angle_alpha 90.00
_cell_angle_beta 101.71
_cell_angle_gamma 90.00
_symmetry_space_group_name_H-M 'P 1 21/m 1'
_symmetry_Int_Tables_number 11
loop_
_symmetry_equiv_pos_as_xyz
'x,y,z'
'-x,-y,-z'
'-x,y+1/2,-z'
'x,-y+1/2,z'
loop_
_atom_site_label
_atom_site_type_symbol
_atom_site_fract_x
_atom_site_fract_y
_atom_site_fract_z
_atom_site_occupancy
Pu1 Pu 0.1372 0.2500 0.1670 1
Te1 Te 0.0177 0.7500 0.3403 1
Te2 Te 0.2519 0.7500 0.9933 1
Te3 Te 0.4659 0.7500 0.6574 1
As1 As 0.3333 0.2500 0.7823 1
```

- crystal system = monoclinic
- size of the total moment (μB/f.u.) = 5.00
- formation energy (no corrections) (eV per atom) = -0.43

No. 3
Below is crystalline HoEr5Tm3 at its relaxed geometry, with properties calculated at the PBE level.

Structure (CIF):
```
data_HoEr5Tm3
_cell_length_a 16.9363
_cell_length_b 7.5536
_cell_length_c 10.6913
_cell_angle_alpha 90.00
_cell_angle_beta 108.45
_cell_angle_gamma 90.00
_symmetry_space_group_name_H-M 'C 1 2/c 1'
_symmetry_Int_Tables_number 15
loop_
_symmetry_equiv_pos_as_xyz
'x,y,z'
'-x,-y,-z'
'-x,y,-z+1/2'
'x,-y,z+1/2'
'x+1/2,y+1/2,z'
'-x+1/2,-y+1/2,-z'
'-x+1/2,y+1/2,-z+1/2'
'x+1/2,-y+1/2,z+1/2'
loop_
_atom_site_label
_atom_site_type_symbol
_atom_site_fract_x
_atom_site_fract_y
_atom_site_fract_z
_atom_site_occupancy
Ho1 Ho 0.0000 0.2481 0.2500 1
Er1 Er 0.0000 0.2529 0.7500 1
Er2 Er 0.1663 0.2509 0.5855 1
Er3 Er 0.1670 0.2486 0.0822 1
Tm1 Tm 0.0000 0.0000 0.0000 1
Tm2 Tm 0.1669 0.4965 0.3341 1
```

- energy of formation from the pure elements (eV per atom) = 0.719
- crystal system = monoclinic
- size of the total moment (μB/f.u.) = 0.00
- energy above the most stable polymorph in this dataset (eV per atom) = 0.212

- Which of these has the highest size of the total moment?
  PuTe3As

- size of the total moment of number 2 (PuTe3As)?
  5.00 μB/f.u.

- Which value of size of the total moment does entry 1 give?
  0.00 μB/f.u.

- Which value of size of the total moment does entry 1 give?
  0.00 μB/f.u.